Here is Fe2AgP after structural relaxation from Alexandria via LeMat-Bulk. Energies are from PBE.

Unit cell a=2.759 b=2.759 c=6.566 alpha=90.00 beta=90.00 gamma=90.00
Atoms (fractional coordinates):
Fe 0.000 0.000 0.189
Fe 0.000 0.000 0.811
Ag 0.500 0.500 0.500
P 0.500 0.500 0.000

Spin magnetization: 2.07 μB/f.u.
Energy of formation: 30 meV/atom
Space group: No. 123
Theoretical density: 8.3 g cm⁻³
E: -25.065 eV per cell

***

Here is Fe2AgP after structural relaxation from Alexandria via LeMat-Bulk. Energies are from PBE.

Unit cell a=3.786 b=3.786 c=3.856 alpha=90.00 beta=90.00 gamma=90.00
Atoms (fractional coordinates):
Fe 0.000 0.500 0.000
Fe 0.500 0.000 0.000
Ag 0.000 0.000 0.500
P 0.500 0.500 0.500

Spin magnetization: 5.92 μB/f.u.
Energy of formation: 298 meV/atom
Space group: No. 123
Theoretical density: 7.5 g cm⁻³
E: -23.994 eV per cell

***

Here is FeAgP2 after structural relaxation from Alexandria via LeMat-Bulk. Energies are from PBE.

Unit cell a=4.502 b=4.502 c=4.502 alpha=125.78 beta=125.78 gamma=80.25
Atoms (fractional coordinates):
Fe 0.000 0.000 0.000
Ag 0.500 0.500 0.000
P 0.250 0.750 0.500
P 0.750 0.250 0.500

Spin magnetization: 2.05 μB/f.u.
Distance to the lowest polymorph of the same formula: 0.430 eV/atom
Energy of formation: 441 meV/atom
Space group: No. 139
Theoretical density: 6.5 g cm⁻³
E: -20.371 eV per cell

***

Here is Fe2AgP after structural relaxation from Alexandria via LeMat-Bulk. Energies are from PBE.

Unit cell a=8.054 b=8.054 c=8.054 alpha=19.44 beta=19.44 gamma=19.44
Atoms (fractional coordinates):
Fe 0.235 0.235 0.235
Fe 0.765 0.765 0.765
Ag 0.000 0.000 0.000
P 0.500 0.500 0.500

Spin magnetization: 1.01 μB/f.u.
Energy of formation: 148 meV/atom
Space group: No. 166
Theoretical density: 8.2 g cm⁻³
E: -24.593 eV per cell

***

Here is FeAg2P after structural relaxation from Alexandria via LeMat-Bulk. Energies are from PBE.

Unit cell a=2.743 b=2.743 c=8.527 alpha=90.00 beta=90.00 gamma=90.23
Atoms (fractional coordinates):
Fe 0.000 0.000 0.000
Ag 0.500 0.500 0.239
Ag 0.500 0.500 0.761
P 0.000 0.000 0.500

Spin magnetization: 2.99 μB/f.u.
Energy of formation: 426 meV/atom
Space group: No. 65
Theoretical density: 7.8 g cm⁻³
E: -17.872 eV per cell

***

Here is FeAgP2 after structural relaxation from Alexandria via LeMat-Bulk. Energies are from PBE.

Unit cell a=3.131 b=3.131 c=5.956 alpha=90.00 beta=90.00 gamma=90.00
Atoms (fractional coordinates):
Fe 0.000 0.000 0.000
Ag 0.500 0.500 0.651
P 0.000 0.000 0.379
P 0.500 0.500 0.093

Spin magnetization: 1.28 μB/f.u.
Distance to the lowest polymorph of the same formula: 0.221 eV/atom
Energy of formation: 231 meV/atom
Space group: No. 99
Theoretical density: 6.4 g cm⁻³
E: -21.210 eV per cell